Below is crystalline Ca2AlBi3 at its relaxed geometry, with properties calculated at the PBE-GGA level.

Formation energy from the elements (eV/atom): -0.32

Cell: 3.7207 6.4599 15.5448 Å, 90.00 90.00 90.00°
Closest atoms and distances in Å follow each position.
Space group Immm (No. 71)
Asymmetric unit:
Ca  0.0000  0.0000  0.1732 [4 per cell]  6 Bi 3.26-3.36
Al  0.0000  0.0000  0.5000 [2 per cell]  6 Bi 2.94-3.23
Bi  0.0000  0.5000  0.1468 [4 per cell]  2 Al 2.94, 2 Ca 3.26
Bi  0.0000  0.5000  0.5000 [2 per cell]  2 Al 3.23, 4 Ca 3.27

---

Below is crystalline La6Nd3Mg at its relaxed geometry, with properties calculated at the PBE-GGA level.

ΔE to the lowest computed polymorph (eV per atom): 0.021
Formation energy from the elements (eV/atom): 0.11

Cell: 17.3969 12.9921 6.2837 Å, 90.00 90.00 90.00°
Closest atoms and distances in Å follow each position.
Space group Cmc2_1 (No. 36)
Asymmetric unit:
La  0.0000  0.0512  0.0000 [4 per cell]  4 La 3.09-3.46
La  0.0000  0.1866  0.4742 [4 per cell]  4 La 3.09-3.46, 1 Nd 3.15, 1 Mg 3.20
La  0.1580  0.2270  0.7978 [8 per cell]  4 La 3.46-3.86, 4 Nd 3.57-3.71
La  0.1677  0.4148  0.3230 [8 per cell]  2 Nd 3.41-3.44, 1 Mg 3.43, 1 La 3.55
Nd  0.0000  0.3365  0.0811 [4 per cell]  2 Mg 3.12-3.17, 3 La 3.15-3.44
Nd  0.1849  0.0864  0.2886 [8 per cell]  6 La 3.41-3.72
Mg  0.0000  0.4239  0.6107 [4 per cell]  2 Nd 3.12-3.17, 3 La 3.20-3.43

---

Below is crystalline Ce2ErTmSe6 at its relaxed geometry, with properties calculated at the PBE-GGA level.

Raw formation energy (meV/atom): -1791

Cell: 7.3369 7.3369 19.3721 Å, 90.00 90.00 120.00°
Closest atoms and distances in Å follow each position.
Space group R3 (No. 146, hexagonal axes)
Asymmetric unit:
Ce  0.0000  0.0000  0.0000 [3 per cell]  6 Se 2.96-3.02
Ce  0.0000  0.0000  0.4997 [3 per cell]  6 Se 2.96-3.02
Er  0.0000  0.0000  0.2011 [3 per cell]  6 Se 2.82-2.87
Tm  0.0000  0.0000  0.7008 [3 per cell]  6 Se 2.81-2.86
Se  0.0470  0.3530  0.7727 [9 per cell]  1 Tm 2.81, 1 Er 2.87, 2 Ce 2.96-3.02
Se  0.0474  0.6926  0.2729 [9 per cell]  1 Er 2.82, 1 Tm 2.86, 2 Ce 2.96-3.02

---

Below is crystalline Pm3Th4Bi8 at its relaxed geometry, with properties calculated at the PBE-GGA level.

Formation energy from the elements (eV/atom): -0.65

Cell: 12.8941 12.9403 9.1412 Å, 90.00 134.80 90.00°
Closest atoms and distances in Å follow each position.
Space group C2/m (No. 12)
Asymmetric unit:
Pm  0.0000  0.0000  0.0000 [2 per cell]  6 Bi 3.22-3.25
Pm  0.2500  0.2500  0.0000 [4 per cell]  6 Bi 3.22-3.24
Th  0.0000  0.0000  0.5000 [2 per cell]  6 Bi 3.31-3.33
Th  0.0000  0.5000  0.0000 [2 per cell]  6 Bi 3.22-3.25
Th  0.2500  0.2500  0.5000 [4 per cell]  6 Bi 3.22-3.24
Bi  0.0000  0.2491  0.0000 [4 per cell]  3 Pm 3.22, 3 Th 3.24-3.25
Bi  0.0000  0.2566  0.5000 [4 per cell]  3 Th 3.22-3.32, 2 Pm 3.24
Bi  0.2415  0.5000  0.4999 [4 per cell]  4 Th 3.24-3.33, 1 Pm 3.25
Bi  0.2445  0.5000  0.9902 [4 per cell]  2 Th 3.22-3.31, 3 Pm 3.23-3.24

---

Below is crystalline In2ReSi at its relaxed geometry, with properties calculated at the PBE-GGA level.

Raw formation energy (meV/atom): 683

Cell: 4.2139 4.2139 8.1766 Å, 90.00 90.00 90.00°
Closest atoms and distances in Å follow each position.
Space group I-4m2 (No. 119)
Asymmetric unit:
In  0.0000  0.0000  0.0000 [2 per cell]  4 In 2.94, 4 Re 2.94, 4 Si 2.98
In  0.0000  0.5000  0.2500 [2 per cell]  4 In 2.94, 4 Si 2.94, 4 Re 2.98
Re  0.0000  0.5000  0.7500 [2 per cell]  8 In 2.94-2.98, 4 Si 2.94
Si  0.0000  0.0000  0.5000 [2 per cell]  8 In 2.94-2.98, 4 Re 2.94

---

Below is crystalline CrFeS2 at its relaxed geometry, with properties calculated at the PBE-GGA level.

Raw formation energy (meV/atom): -371
ΔE to the lowest computed polymorph (eV per atom): 0.039

Cell: 3.4769 3.4769 5.6189 Å, 90.00 90.00 120.00°
Closest atoms and distances in Å follow each position.
Space group P-3m1 (No. 164)
Asymmetric unit:
Cr  0.0000  0.0000  0.0000 [1 per cell]  6 S 2.43
Fe  0.0000  0.0000  0.5000 [1 per cell]  6 S 2.47
S  0.3333  0.6667  0.7572 [2 per cell]  3 Cr 2.43, 3 Fe 2.47

---

Below is crystalline NbSn2Bi2 at its relaxed geometry, with properties calculated at the PBE-GGA level.

ΔE to the lowest computed polymorph (eV per atom): 0.334
Formation energy from the elements (eV/atom): 0.71

Cell: 4.1886 4.1886 17.1974 Å, 90.00 90.00 90.00°
Closest atoms and distances in Å follow each position.
Space group I4/mmm (No. 139)
Asymmetric unit:
Nb  0.0000  0.0000  0.0000 [2 per cell]  8 Sn 3.29
Sn  0.0000  0.0000  0.4161 [4 per cell]  1 Sn 2.89
Bi  0.0000  0.5000  0.2500 [4 per cell]  4 Bi 2.96

---

Below is crystalline SrMgGeB2 at its relaxed geometry, with properties calculated at the PBE-GGA level.

Formation energy from the elements (eV/atom): 1.09

Cell: 4.5680 4.5680 4.9508 Å, 90.00 90.00 90.00°
Closest atoms and distances in Å follow each position.
Space group P4/mmm (No. 123)
Asymmetric unit:
Sr  0.0000  0.0000  0.0000 [1 per cell]  4 Ge 3.23, 8 B 3.37
Mg  0.5000  0.5000  0.5000 [1 per cell]  4 B 2.28, 2 Ge 2.48
Ge  0.5000  0.5000  0.0000 [1 per cell]  2 Mg 2.48
B  0.0000  0.5000  0.5000 [2 per cell]  2 Mg 2.28

---

Below is crystalline Ca2MnCr at its relaxed geometry, with properties calculated at the PBE-GGA level.

ΔE to the lowest computed polymorph (eV per atom): 0.363
Formation energy from the elements (eV/atom): 0.71

Cell: 5.2227 5.2227 7.4083 Å, 90.00 90.00 90.00°
Closest atoms and distances in Å follow each position.
Space group I-4m2 (No. 119)
Asymmetric unit:
Ca  0.0000  0.0000  0.0000 [2 per cell]  4 Cr 3.20, 4 Ca 3.20
Ca  0.0000  0.5000  0.2500 [2 per cell]  4 Mn 3.20, 4 Ca 3.20
Mn  0.0000  0.0000  0.5000 [2 per cell]  4 Cr 3.20, 4 Ca 3.20
Cr  0.0000  0.5000  0.7500 [2 per cell]  4 Mn 3.20, 4 Ca 3.20

---

Below is crystalline Sr3AgAu3 at its relaxed geometry, with properties calculated at the PBE-GGA level.

Formation energy from the elements (eV/atom): -0.66

Cell: 11.6875 4.5294 15.9709 Å, 90.00 109.16 90.00°
Closest atoms and distances in Å follow each position.
Space group C2/m (No. 12)
Asymmetric unit:
Sr  0.0363  0.0000  0.3901 [4 per cell]  3 Ag 3.25-3.52, 6 Au 3.26-3.38
Sr  0.1044  0.0000  0.9228 [4 per cell]  7 Au 3.30-3.41
Sr  0.2422  0.0000  0.2320 [4 per cell]  6 Au 3.32-3.39, 2 Ag 3.40
Ag  0.2348  0.5000  0.3891 [4 per cell]  3 Au 2.78-2.88
Au  0.0257  0.5000  0.2307 [4 per cell]  1 Ag 2.88, 1 Au 2.94
Au  0.1139  0.5000  0.0781 [4 per cell]  2 Au 2.94-2.99
Au  0.1274  0.5000  0.5451 [4 per cell]  2 Ag 2.78, 1 Au 2.85

---

Below is crystalline NdY12Tm6 at its relaxed geometry, with properties calculated at the PBE-GGA level.

ΔE to the lowest computed polymorph (eV per atom): 0.286
Formation energy from the elements (eV/atom): 0.44

Cell: 15.0124 15.0124 10.0659 Å, 90.00 90.00 120.00°
Closest atoms and distances in Å follow each position.
Space group R-3m (No. 166, hexagonal axes)
Asymmetric unit:
Nd  0.0000  0.0000  0.0000 [3 per cell]  6 Y 3.53
Y  0.0000  0.3888  0.5000 [18 per cell]  4 Tm 3.27-3.39, 5 Y 3.34-3.65
Y  0.0733  0.1467  0.2956 [18 per cell]  1 Tm 3.08, 2 Y 3.30
Tm  0.0524  0.5262  0.2144 [18 per cell]  5 Y 3.08-3.39

---

Below is crystalline KNaIr2Au at its relaxed geometry, with properties calculated at the PBE-GGA level.

Formation energy from the elements (eV/atom): 2.20

Cell: 4.8933 4.8933 5.4907 Å, 90.00 90.00 90.00°
Closest atoms and distances in Å follow each position.
Space group P4/mmm (No. 123)
Asymmetric unit:
K  0.0000  0.0000  0.0000 [1 per cell]  4 Ir 2.45
Na  0.5000  0.5000  0.5000 [1 per cell]  4 Au 3.46, 8 Ir 3.68
Ir  0.0000  0.5000  0.0000 [2 per cell]  2 K 2.45
Au  0.0000  0.0000  0.5000 [1 per cell]  2 K 2.75